[1]
DFT (PBE) results for a geometry-optimized SrHfAgAu structure.

Geometry as POSCAR:
```
SrHfAgAu
1.0
6.984 0.000 0.000
0.000 6.984 0.000
0.000 0.000 6.984
Sr Hf Ag Au
4 4 4 4
direct
0.000 0.000 0.000
0.000 0.500 0.500
0.500 0.000 0.500
0.500 0.500 0.000
0.250 0.250 0.750
0.250 0.750 0.250
0.750 0.250 0.250
0.750 0.750 0.750
0.250 0.250 0.250
0.250 0.750 0.750
0.750 0.250 0.750
0.750 0.750 0.250
0.000 0.000 0.500
0.000 0.500 0.000
0.500 0.000 0.000
0.500 0.500 0.500
```

The calculation puts the excess energy over the best structure of this formula in the dataset at 0.1993 eV/atom. The total energy is -68.82 eV for the cell shown. The size of the total moment comes out at 0.00 μB per cell.

[2]
DFT (PBE) results for a geometry-optimized LuSc2Fe structure.

Geometry as POSCAR:
```
LuSc2Fe
1.0
6.819 0.000 0.000
0.000 6.819 0.000
0.000 0.000 6.819
Lu Sc Fe
4 8 4
direct
0.000 0.000 0.000
0.000 0.500 0.500
0.500 0.000 0.500
0.500 0.500 0.000
0.000 0.000 0.500
0.000 0.500 0.000
0.250 0.250 0.750
0.250 0.750 0.250
0.500 0.000 0.000
0.500 0.500 0.500
0.750 0.250 0.250
0.750 0.750 0.750
0.250 0.250 0.250
0.250 0.750 0.750
0.750 0.250 0.750
0.750 0.750 0.250
```

The total energy is -98.68 eV for the cell shown. The size of the total moment comes out at 0.60 μB per cell.

[3]
DFT (PBE) results for a geometry-optimized SiMo2As2 structure.

Geometry as POSCAR:
```
SiMo2As2
1.0
3.589 0.000 0.000
0.000 3.589 0.000
0.000 0.000 12.967
Si Mo As
2 4 4
direct
0.000 0.000 0.000
0.500 0.500 0.500
0.000 0.000 0.393
0.000 0.000 0.607
0.500 0.500 0.107
0.500 0.500 0.893
0.000 0.500 0.250
0.000 0.500 0.750
0.500 0.000 0.250
0.500 0.000 0.750
```

The calculation puts the excess energy over the best structure of this formula in the dataset at 0.0000 eV/atom. The total energy is -70.02 eV for the cell shown. The size of the total moment comes out at 0.00 μB per cell.

[4]
DFT (PBE) results for a geometry-optimized LaPrAl4Co2 structure.

Geometry as POSCAR:
```
LaPrAl4Co2
1.0
7.135 0.000 0.000
0.000 4.130 0.000
0.000 0.000 10.377
La Pr Al Co
2 2 8 4
direct
0.000 0.000 0.000
0.000 0.500 0.500
0.500 0.000 0.897
0.500 0.500 0.397
0.195 0.000 0.278
0.195 0.500 0.778
0.308 0.000 0.621
0.308 0.500 0.121
0.692 0.000 0.621
0.692 0.500 0.121
0.805 0.000 0.278
0.805 0.500 0.778
0.000 0.000 0.742
0.000 0.500 0.242
0.500 0.000 0.164
0.500 0.500 0.664
```

The total energy is -85.40 eV for the cell shown. The size of the total moment comes out at 0.03 μB per cell.

[5]
DFT (PBE) results for a geometry-optimized Zn6PdO8 structure.

Geometry as POSCAR:
```
Zn6PdO8
1.0
0.000 4.287 4.287
4.287 0.000 4.287
4.287 4.287 0.000
Zn Pd O
6 1 8
direct
0.000 0.000 0.500
0.000 0.500 0.000
0.000 0.500 0.500
0.500 0.000 0.000
0.500 0.000 0.500
0.500 0.500 0.000
0.000 0.000 0.000
0.235 0.235 0.765
0.235 0.765 0.235
0.235 0.765 0.765
0.250 0.250 0.250
0.750 0.750 0.750
0.765 0.235 0.235
0.765 0.235 0.765
0.765 0.765 0.235
```

The total energy is -69.19 eV for the cell shown.

[6]
DFT (PBE) results for a geometry-optimized LiBeInCu structure.

Geometry as POSCAR:
```
LiBeInCu
1.0
6.010 0.000 0.000
0.000 6.010 0.000
0.000 0.000 6.010
Li Be In Cu
4 4 4 4
direct
0.000 0.000 0.000
0.000 0.500 0.500
0.500 0.000 0.500
0.500 0.500 0.000
0.250 0.250 0.750
0.250 0.750 0.250
0.750 0.250 0.250
0.750 0.750 0.750
0.250 0.250 0.250
0.250 0.750 0.750
0.750 0.250 0.750
0.750 0.750 0.250
0.000 0.000 0.500
0.000 0.500 0.000
0.500 0.000 0.000
0.500 0.500 0.500
```

The calculation puts the excess energy over the best structure of this formula in the dataset at 0.0174 eV/atom. The total energy is -47.57 eV for the cell shown.

[7]
DFT (PBE) results for a geometry-optimized Er3CdN structure.

Geometry as POSCAR:
```
Er3CdN
1.0
4.761 0.000 0.000
0.000 4.761 0.000
0.000 0.000 4.761
Er Cd N
3 1 1
direct
0.000 0.000 0.500
0.000 0.500 0.000
0.500 0.000 0.000
0.500 0.500 0.500
0.000 0.000 0.000
```

The total energy is -27.30 eV for the cell shown. The size of the total moment comes out at 0.00 μB per cell.

[8]
DFT (PBE) results for a geometry-optimized GdY2In3Cu3 structure.

Geometry as POSCAR:
```
GdY2In3Cu3
1.0
3.887 0.000 0.000
0.000 6.525 3.771
0.000 -6.525 3.771
Gd Y In Cu
1 2 3 3
direct
0.000 0.000 0.000
0.000 0.181 0.590
0.000 0.590 0.181
0.500 0.335 0.335
0.500 0.589 0.845
0.500 0.845 0.589
0.000 0.590 0.590
0.500 0.257 0.923
0.500 0.923 0.257
```

The total energy is -40.79 eV for the cell shown. The size of the total moment comes out at 0.01 μB per cell.

[9]
DFT (PBE) results for a geometry-optimized InCu2B structure.

Geometry as POSCAR:
```
InCu2B
1.0
5.993 0.000 0.000
0.000 5.993 0.000
0.000 0.000 5.993
In Cu B
4 8 4
direct
0.000 0.000 0.000
0.000 0.000 0.500
0.000 0.500 0.000
0.500 0.000 0.000
0.292 0.292 0.292
0.292 0.292 0.708
0.292 0.708 0.292
0.292 0.708 0.708
0.708 0.292 0.292
0.708 0.292 0.708
0.708 0.708 0.292
0.708 0.708 0.708
0.000 0.500 0.500
0.500 0.000 0.500
0.500 0.500 0.000
0.500 0.500 0.500
```

The total energy is -57.90 eV for the cell shown.

[10]
DFT (PBE) results for a geometry-optimized Ta3Ir2Os structure.

Geometry as POSCAR:
```
Ta3Ir2Os
1.0
13.833 0.000 0.000
0.000 2.915 0.000
0.000 0.000 4.832
Ta Ir Os
6 4 2
direct
0.086 0.000 0.204
0.250 0.000 0.784
0.414 0.000 0.204
0.586 0.000 0.796
0.750 0.000 0.216
0.914 0.000 0.796
0.082 0.500 0.689
0.418 0.500 0.689
0.582 0.500 0.311
0.918 0.500 0.311
0.250 0.500 0.288
0.750 0.500 0.712
```

The total energy is -134.09 eV for the cell shown. The size of the total moment comes out at 0.00 μB per cell.

[11]
DFT (PBE) results for a geometry-optimized Pr4As3S4 structure.

Geometry as POSCAR:
```
Pr4As3S4
1.0
10.723 0.000 0.000
0.000 2.132 7.396
0.000 -2.132 7.396
Pr As S
4 3 4
direct
0.000 0.000 0.000
0.200 0.261 0.261
0.500 0.843 0.843
0.800 0.261 0.261
0.000 0.685 0.685
0.189 0.596 0.596
0.811 0.596 0.596
0.000 0.379 0.379
0.255 0.886 0.886
0.500 0.232 0.232
0.745 0.886 0.886
```

The total energy is -64.87 eV for the cell shown. The size of the total moment comes out at 0.00 μB per cell.

[12]
DFT (PBE) results for a geometry-optimized Y3In3Ir2Pt structure.

Geometry as POSCAR:
```
Y3In3Ir2Pt
1.0
7.598 0.000 0.000
-3.799 6.580 0.000
0.000 0.000 3.900
Y In Ir Pt
3 3 2 1
direct
0.000 0.407 0.000
0.407 0.000 0.000
0.593 0.593 0.000
0.000 0.738 0.500
0.262 0.262 0.500
0.738 0.000 0.500
0.333 0.667 0.500
0.667 0.333 0.500
0.000 0.000 0.000
```

The total energy is -58.51 eV for the cell shown. The size of the total moment comes out at 0.02 μB per cell.

What did the tenth record say?
DFT (PBE) results for a geometry-optimized Ta3Ir2Os structure.

Geometry as POSCAR:
```
Ta3Ir2Os
1.0
13.833 0.000 0.000
0.000 2.915 0.000
0.000 0.000 4.832
Ta Ir Os
6 4 2
direct
0.086 0.000 0.204
0.250 0.000 0.784
0.414 0.000 0.204
0.586 0.000 0.796
0.750 0.000 0.216
0.914 0.000 0.796
0.082 0.500 0.689
0.418 0.500 0.689
0.582 0.500 0.311
0.918 0.500 0.311
0.250 0.500 0.288
0.750 0.500 0.712
```

The total energy is -134.09 eV for the cell shown. The size of the total moment comes out at 0.00 μB per cell.

What did the ninth record say?
DFT (PBE) results for a geometry-optimized InCu2B structure.

Geometry as POSCAR:
```
InCu2B
1.0
5.993 0.000 0.000
0.000 5.993 0.000
0.000 0.000 5.993
In Cu B
4 8 4
direct
0.000 0.000 0.000
0.000 0.000 0.500
0.000 0.500 0.000
0.500 0.000 0.000
0.292 0.292 0.292
0.292 0.292 0.708
0.292 0.708 0.292
0.292 0.708 0.708
0.708 0.292 0.292
0.708 0.292 0.708
0.708 0.708 0.292
0.708 0.708 0.708
0.000 0.500 0.500
0.500 0.000 0.500
0.500 0.500 0.000
0.500 0.500 0.500
```

The total energy is -57.90 eV for the cell shown.